First-principles (PBE) data for a relaxed BeBPIrAu crystal, as listed in Alexandria.

Geometry as POSCAR:
```
BeBPIrAu
1.0
-5.0721 0.6725 6.4476
-1.8226 -1.9682 -1.2285
2.8675 -4.0398 2.2182
Ir Au Be P B
2 2 2 2 2
Direct
0.4134 0.5000 0.4310
0.4134 0.0000 0.9310
0.7993 0.5000 0.4665
0.7993 0.0000 0.9665
0.6000 0.5000 0.7671
0.6000 0.0000 0.2671
0.1082 0.5000 0.5046
0.1082 0.0000 0.0046
0.2003 0.0000 0.3344
0.2003 0.5000 0.8344
```

Results
**E above lowest polymorph**: 0.0693 eV/atom

First-principles (PBE) data for a relaxed BeBPIrAu crystal, as listed in Alexandria.

Geometry as POSCAR:
```
BeBPIrAu
1.0
-1.8581 0.2998 -2.7433
1.9008 -1.6422 -1.4669
-2.6156 -5.9483 3.2698
Ir Au B Be P
1 1 1 1 1
Direct
0.1870 0.5000 0.6196
0.9557 0.5000 0.2298
0.7416 0.0000 0.7142
0.5793 0.0000 0.4262
0.8115 0.5000 0.8892
```

Results
**E above lowest polymorph**: 0.0902 eV/atom

First-principles (PBE) data for a relaxed BeBPIrAu crystal, as listed in Alexandria.

Geometry as POSCAR:
```
BeBPIrAu
1.0
-6.1851 4.1346 3.8018
-1.2160 -2.7091 0.9680
3.7540 -0.3084 3.8528
P Au B Ir Be
2 2 2 2 2
Direct
0.1026 0.5000 0.5581
0.1026 0.0000 0.0581
0.7557 0.5000 0.7785
0.7557 0.0000 0.2785
0.0367 0.0000 0.3696
0.0367 0.5000 0.8696
0.3912 0.0000 0.1554
0.3912 0.5000 0.6554
0.5626 0.5000 0.3787
0.5626 0.0000 0.8787
```

Results
**E above lowest polymorph**: 0.0884 eV/atom